First-principles (PBE-GGA) data for an optimized crystal structure of Gd2TmGa3CuGe2, as listed in OQMD.

abc: 4.162 7.032 7.032
angles: 119.65 90.00 90.00
Sites, in units of the cell vectors:
Tm: 0.000 0.399 0.399
Gd: 0.000 0.998 0.599
Gd: 0.000 0.599 0.998
Ga: 0.500 0.766 0.766
Ga: 0.500 0.000 0.235
Ga: 0.500 0.235 0.000
Ge: 0.500 0.662 0.334
Ge: 0.500 0.334 0.662
Cu: 0.000 0.007 0.007

volume = 19.87 Å³ per atom
total magnetization = 0.00 μB/f.u.

First-principles (PBE-GGA) data for an optimized crystal structure of UCuPd, as listed in OQMD.

abc: 4.389 4.389 4.389
angles: 60.00 60.00 60.00
Sites, in units of the cell vectors:
U: 0.750 0.750 0.750
Pd: 0.250 0.250 0.250
Cu: 0.000 0.000 0.000

ΔE to the lowest computed polymorph = 0 meV per atom
volume = 19.93 Å³ per atom
total magnetization = 2.88 μB/f.u.
ΔH_f (0 K) = 0.80 eV/f.u.

Number 1: raw total energy -4.630 eV/atom. Number 2: raw total energy -6.463 eV/atom.